Record 1
# Ac2Ge4IrAu3, optimized geometry, DFT PBE
data_Ac2Ge4IrAu3
_cell_length_a 4.537
_cell_length_b 4.537
_cell_length_c 10.637
_cell_angle_alpha 90.00
_cell_angle_beta 90.00
_cell_angle_gamma 90.00
_symmetry_space_group_name_H-M 'P -4 m 2'
_symmetry_Int_Tables_number 115
loop_
_symmetry_equiv_pos_as_xyz
'x,y,z'
'y,-x,-z'
'-x,-y,z'
'-y,x,-z'
'-x,y,z'
'-y,-x,-z'
'x,-y,z'
'y,x,-z'
loop_
_atom_site_label
_atom_site_fract_x
_atom_site_fract_y
_atom_site_fract_z
Ac1 0.000 0.500 0.242
Ge1 0.000 0.000 0.500
Ge2 0.000 0.500 0.879
Ge3 0.500 0.500 0.500
Ir1 0.500 0.500 0.000
Au1 0.000 0.000 0.000
Au2 0.000 0.500 0.634
# Electronic total energy   -5.12 eV per atom



Record 2
# Ac2Ge4Ir3Au, optimized geometry, DFT PBE
data_Ac2Ge4Ir3Au
_cell_length_a 4.470
_cell_length_b 4.470
_cell_length_c 10.250
_cell_angle_alpha 90.00
_cell_angle_beta 90.00
_cell_angle_gamma 90.00
_symmetry_space_group_name_H-M 'P -4 m 2'
_symmetry_Int_Tables_number 115
loop_
_symmetry_equiv_pos_as_xyz
'x,y,z'
'y,-x,-z'
'-x,-y,z'
'-y,x,-z'
'-x,y,z'
'-y,-x,-z'
'x,-y,z'
'y,x,-z'
loop_
_atom_site_label
_atom_site_fract_x
_atom_site_fract_y
_atom_site_fract_z
Ac1 0.000 0.500 0.242
Ge1 0.000 0.000 0.000
Ge2 0.000 0.500 0.635
Ge3 0.500 0.500 0.000
Ir1 0.000 0.500 0.879
Ir2 0.500 0.500 0.500
Au1 0.000 0.000 0.500
# Electronic total energy   -6.32 eV per atom



Record 3
# Ac4GeIrAu2, optimized geometry, DFT PBE
data_Ac4GeIrAu2
_cell_length_a 7.749
_cell_length_b 4.464
_cell_length_c 7.977
_cell_angle_alpha 90.00
_cell_angle_beta 108.63
_cell_angle_gamma 90.00
_symmetry_space_group_name_H-M 'P 1 2/m 1'
_symmetry_Int_Tables_number 10
loop_
_symmetry_equiv_pos_as_xyz
'x,y,z'
'-x,-y,-z'
'-x,y,-z'
'x,-y,z'
loop_
_atom_site_label
_atom_site_fract_x
_atom_site_fract_y
_atom_site_fract_z
Ac1 0.226 0.000 0.230
Ac2 0.230 0.500 0.761
Ge1 0.000 0.000 0.500
Ir1 0.000 0.500 0.000
Au1 0.500 0.000 0.000
Au2 0.500 0.500 0.500
# Electronic total energy   -5.27 eV per atom



Record 4
# KAcGeAu, optimized geometry, DFT PBE
data_KAcGeAu
_cell_length_a 7.765
_cell_length_b 7.765
_cell_length_c 7.765
_cell_angle_alpha 90.00
_cell_angle_beta 90.00
_cell_angle_gamma 90.00
_symmetry_space_group_name_H-M 'F -4 3 m'
_symmetry_Int_Tables_number 216
_symmetry_space_group_name_Hall 'F -4 2 3'
loop_
_atom_site_label
_atom_site_fract_x
_atom_site_fract_y
_atom_site_fract_z
K1 0.000 0.000 0.000
Ac1 0.000 0.000 0.500
Ge1 0.250 0.250 0.250
Au1 0.250 0.250 0.750
# Electronic total energy   -3.62 eV per atom



Record 5
# LiAc2GeAu6, optimized geometry, DFT PBE
data_LiAc2GeAu6
_cell_length_a 5.580
_cell_length_b 6.992
_cell_length_c 7.216
_cell_angle_alpha 79.90
_cell_angle_beta 67.39
_cell_angle_gamma 66.48
_symmetry_space_group_name_H-M 'P -1'
_symmetry_Int_Tables_number 2
loop_
_symmetry_equiv_pos_as_xyz
'x,y,z'
'-x,-y,-z'
loop_
_atom_site_label
_atom_site_fract_x
_atom_site_fract_y
_atom_site_fract_z
Li1 0.000 0.000 0.000
Ac1 0.247 0.287 0.220
Ge1 0.500 0.500 0.500
Au1 0.238 0.254 0.771
Au2 0.244 0.903 0.607
Au3 0.264 0.746 0.228
# Electronic total energy   -3.97 eV per atom



Record 6
# Li2AcGeAu4, optimized geometry, DFT PBE
data_Li2AcGeAu4
_cell_length_a 4.5526
_cell_length_b 4.5526
_cell_length_c 27.6221
_cell_angle_alpha 90.00
_cell_angle_beta 90.00
_cell_angle_gamma 120.00
_symmetry_space_group_name_H-M 'R -3 m'
_symmetry_Int_Tables_number 166
_symmetry_space_group_name_Hall '-R 3 2"'
loop_
_atom_site_label
_atom_site_fract_x
_atom_site_fract_y
_atom_site_fract_z
Li1 0.0000 0.0000 0.2299
Ac1 0.0000 0.0000 0.0000
Ge1 0.0000 0.0000 0.5000
Au1 0.0000 0.0000 0.1271
Au2 0.0000 0.0000 0.4013
# Electronic total energy   -3.74 eV per atom



Record 7
# Li3Ac2Ge4Au, optimized geometry, DFT PBE
data_Li3Ac2Ge4Au
_cell_length_a 4.450
_cell_length_b 4.450
_cell_length_c 10.682
_cell_angle_alpha 90.00
_cell_angle_beta 90.00
_cell_angle_gamma 90.00
_symmetry_space_group_name_H-M 'P -4 m 2'
_symmetry_Int_Tables_number 115
loop_
_symmetry_equiv_pos_as_xyz
'x,y,z'
'y,-x,-z'
'-x,-y,z'
'-y,x,-z'
'-x,y,z'
'-y,-x,-z'
'x,-y,z'
'y,x,-z'
loop_
_atom_site_label
_atom_site_fract_x
_atom_site_fract_y
_atom_site_fract_z
Li1 0.000 0.000 0.000
Li2 0.000 0.500 0.625
Ac1 0.000 0.500 0.252
Ge1 0.000 0.000 0.500
Ge2 0.000 0.500 0.866
Ge3 0.500 0.500 0.500
Au1 0.500 0.500 0.000
# Electronic total energy   -4.15 eV per atom



Record 8
# LiAc2Ge4Au3, optimized geometry, DFT PBE
data_LiAc2Ge4Au3
_cell_length_a 4.525
_cell_length_b 4.525
_cell_length_c 10.853
_cell_angle_alpha 90.00
_cell_angle_beta 90.00
_cell_angle_gamma 90.00
_symmetry_space_group_name_H-M 'P -4 m 2'
_symmetry_Int_Tables_number 115
loop_
_symmetry_equiv_pos_as_xyz
'x,y,z'
'y,-x,-z'
'-x,-y,z'
'-y,x,-z'
'-x,y,z'
'-y,-x,-z'
'x,-y,z'
'y,x,-z'
loop_
_atom_site_label
_atom_site_fract_x
_atom_site_fract_y
_atom_site_fract_z
Li1 0.000 0.000 0.000
Ac1 0.000 0.500 0.752
Ge1 0.000 0.000 0.500
Ge2 0.000 0.500 0.131
Ge3 0.500 0.500 0.500
Au1 0.000 0.500 0.369
Au2 0.500 0.500 0.000
# Electronic total energy   -4.47 eV per atom



Record 9
# LiAc2Ge2Au6, optimized geometry, DFT PBE
data_LiAc2Ge2Au6
_cell_length_a 6.8871
_cell_length_b 6.8871
_cell_length_c 19.8848
_cell_angle_alpha 90.00
_cell_angle_beta 90.00
_cell_angle_gamma 120.00
_symmetry_space_group_name_H-M 'R -3 m'
_symmetry_Int_Tables_number 166
_symmetry_space_group_name_Hall '-R 3 2"'
loop_
_atom_site_label
_atom_site_fract_x
_atom_site_fract_y
_atom_site_fract_z
Li1 0.0000 0.0000 0.0000
Ac1 0.0000 0.0000 0.2564
Ge1 0.0000 0.0000 0.4141
Au1 0.0627 0.5313 0.7818
# Electronic total energy   -4.02 eV per atom



Record 10
# Ac2MgGe4Au3, optimized geometry, DFT PBE
data_Ac2MgGe4Au3
_cell_length_a 4.540
_cell_length_b 4.540
_cell_length_c 11.029
_cell_angle_alpha 90.00
_cell_angle_beta 90.00
_cell_angle_gamma 90.00
_symmetry_space_group_name_H-M 'P -4 m 2'
_symmetry_Int_Tables_number 115
loop_
_symmetry_equiv_pos_as_xyz
'x,y,z'
'y,-x,-z'
'-x,-y,z'
'-y,x,-z'
'-x,y,z'
'-y,-x,-z'
'x,-y,z'
'y,x,-z'
loop_
_atom_site_label
_atom_site_fract_x
_atom_site_fract_y
_atom_site_fract_z
Ac1 0.000 0.500 0.242
Mg1 0.000 0.000 0.500
Ge1 0.000 0.000 0.000
Ge2 0.000 0.500 0.639
Ge3 0.500 0.500 0.000
Au1 0.000 0.500 0.873
Au2 0.500 0.500 0.500
# Electronic total energy   -4.43 eV per atom



Record 11
# AcMg2GeAu4, optimized geometry, DFT PBE
data_AcMg2GeAu4
_cell_length_a 4.5497
_cell_length_b 4.5497
_cell_length_c 29.4985
_cell_angle_alpha 90.00
_cell_angle_beta 90.00
_cell_angle_gamma 120.00
_symmetry_space_group_name_H-M 'R -3 m'
_symmetry_Int_Tables_number 166
_symmetry_space_group_name_Hall '-R 3 2"'
loop_
_atom_site_label
_atom_site_fract_x
_atom_site_fract_y
_atom_site_fract_z
Ac1 0.0000 0.0000 0.0000
Mg1 0.0000 0.0000 0.2349
Ge1 0.0000 0.0000 0.5000
Au1 0.0000 0.0000 0.1291
Au2 0.0000 0.0000 0.3980
# Electronic total energy   -3.65 eV per atom



Record 12
# AcMg2Ge2Au2, optimized geometry, DFT PBE
data_AcMg2Ge2Au2
_cell_length_a 4.5192
_cell_length_b 4.5192
_cell_length_c 25.5302
_cell_angle_alpha 90.00
_cell_angle_beta 90.00
_cell_angle_gamma 120.00
_symmetry_space_group_name_H-M 'R -3 m'
_symmetry_Int_Tables_number 166
_symmetry_space_group_name_Hall '-R 3 2"'
loop_
_atom_site_label
_atom_site_fract_x
_atom_site_fract_y
_atom_site_fract_z
Ac1 0.0000 0.0000 0.0000
Mg1 0.0000 0.0000 0.1394
Ge1 0.0000 0.0000 0.2565
Au1 0.0000 0.0000 0.4365
# Electronic total energy   -3.86 eV per atom